SbWNO2: relaxed, PBE with a Hubbard U.

Properties
The calculation puts the total energy at -28.8 eV for the cell shown. For the spin magnetization, the calculation gives 3.78 μB/f.u. For the density of states at the Fermi level, the calculation gives 2.034 states/eV/cell.

abc: 3.948 3.948 4.261
angles: 90.00 90.00 90.00
Space group P4/mmm (No. 123)
Symmetry-distinct sites (fractional):
Sb 0.000 0.000 0.000 [1 per cell]
W 0.500 0.500 0.500 [1 per cell]
N 0.000 0.000 0.500 [1 per cell]
O 0.000 0.500 0.000 [2 per cell]